[1]
TaRu2Cl | PBE | optimized geometry

Summary:
DFT total energy ... -7.864 eV per atom
E_form (uncorrected) ... 0.8 eV/f.u.
N(E_F) ... 4.5 states/eV/f.u.

CIF file:
```
data_TaRu2Cl
_chemical_formula_sum 'Ta1 Ru2 Cl1'
_space_group_name_H-M_alt 'P 4 m m'
_space_group_IT_number 99
_cell_length_a 2.849
_cell_length_b 2.849
_cell_length_c 8.978
_cell_angle_alpha 90.00
_cell_angle_beta 90.00
_cell_angle_gamma 90.00
loop_
_space_group_symop_operation_xyz
'x,y,z'
'-y,x,z'
'-x,-y,z'
'y,-x,z'
'-x,y,z'
'y,x,z'
'x,-y,z'
'-y,-x,z'
loop_
_atom_site_label
_atom_site_type_symbol
_atom_site_fract_x
_atom_site_fract_y
_atom_site_fract_z
Ta1 Ta 0.000 0.000 0.000
Ru1 Ru 0.000 0.000 0.591
Ru2 Ru 0.500 0.500 0.778
Cl1 Cl 0.500 0.500 0.187
```

[2]
Ta3RuCl | PBE | optimized geometry

Summary:
DFT total energy ... -8.087 eV per atom
E_form (uncorrected) ... 6.2 eV/f.u.
N(E_F) ... 3.6 states/eV/f.u.

CIF file:
```
data_Ta3RuCl
_chemical_formula_sum 'Ta3 Ru1 Cl1'
_space_group_name_H-M_alt 'P m -3 m'
_space_group_IT_number 221
_space_group_name_Hall '-P 4 2 3'
_cell_length_a 4.860
_cell_length_b 4.860
_cell_length_c 4.860
_cell_angle_alpha 90.00
_cell_angle_beta 90.00
_cell_angle_gamma 90.00
loop_
_atom_site_label
_atom_site_type_symbol
_atom_site_fract_x
_atom_site_fract_y
_atom_site_fract_z
Ta1 Ta 0.000 0.000 0.500
Ru1 Ru 0.000 0.000 0.000
Cl1 Cl 0.500 0.500 0.500
```

[3]
Ta2RuCl | PBE | optimized geometry

Summary:
DFT total energy ... -8.244 eV per atom
E_form (uncorrected) ... 1.9 eV/f.u.
N(E_F) ... 2.9 states/eV/f.u.

CIF file:
```
data_Ta2RuCl
_chemical_formula_sum 'Ta4 Ru2 Cl2'
_space_group_name_H-M_alt 'I m m m'
_space_group_IT_number 71
_space_group_name_Hall '-I 2 2'
_cell_length_a 3.027
_cell_length_b 4.784
_cell_length_c 8.964
_cell_angle_alpha 90.00
_cell_angle_beta 90.00
_cell_angle_gamma 90.00
loop_
_atom_site_label
_atom_site_type_symbol
_atom_site_fract_x
_atom_site_fract_y
_atom_site_fract_z
Ta1 Ta 0.000 0.000 0.230
Ru1 Ru 0.000 0.500 0.000
Cl1 Cl 0.000 0.500 0.500
```

[4]
TaRu2Cl | PBE | optimized geometry

Summary:
DFT total energy ... -7.449 eV per atom
E_form (uncorrected) ... 2.5 eV/f.u.
N(E_F) ... 4.0 states/eV/f.u.

CIF file:
```
data_TaRu2Cl
_chemical_formula_sum 'Ta4 Ru8 Cl4'
_space_group_name_H-M_alt 'F m -3 m'
_space_group_IT_number 225
_space_group_name_Hall '-F 4 2 3'
_cell_length_a 6.328
_cell_length_b 6.328
_cell_length_c 6.328
_cell_angle_alpha 90.00
_cell_angle_beta 90.00
_cell_angle_gamma 90.00
loop_
_atom_site_label
_atom_site_type_symbol
_atom_site_fract_x
_atom_site_fract_y
_atom_site_fract_z
Ta1 Ta 0.000 0.000 0.000
Ru1 Ru 0.250 0.250 0.250
Cl1 Cl 0.000 0.000 0.500
```

[5]
TaRuCl2 | PBE | optimized geometry

Summary:
DFT total energy ... -5.851 eV per atom
E_form (uncorrected) ... 1.4 eV/f.u.
N(E_F) ... 3.6 states/eV/f.u.

CIF file:
```
data_TaRuCl2
_chemical_formula_sum 'Ta1 Ru1 Cl2'
_space_group_name_H-M_alt 'P 1 2/m 1'
_space_group_IT_number 10
_cell_length_a 3.987
_cell_length_b 4.282
_cell_length_c 4.066
_cell_angle_alpha 90.00
_cell_angle_beta 90.73
_cell_angle_gamma 90.00
loop_
_space_group_symop_operation_xyz
'x,y,z'
'-x,-y,-z'
'-x,y,-z'
'x,-y,z'
loop_
_atom_site_label
_atom_site_type_symbol
_atom_site_fract_x
_atom_site_fract_y
_atom_site_fract_z
Ta1 Ta 0.000 0.000 0.000
Ru1 Ru 0.500 0.000 0.500
Cl1 Cl 0.244 0.500 0.755
```

[6]
TaRuCl2 | PBE | optimized geometry

Summary:
DFT total energy ... -6.448 eV per atom
E_form (uncorrected) ... -1.0 eV/f.u.
N(E_F) ... 2.4 states/eV/f.u.

CIF file:
```
data_TaRuCl2
_chemical_formula_sum 'Ta2 Ru2 Cl4'
_space_group_name_H-M_alt 'C 1 2/m 1'
_space_group_IT_number 12
_cell_length_a 14.265
_cell_length_b 3.168
_cell_length_c 4.191
_cell_angle_alpha 90.00
_cell_angle_beta 95.17
_cell_angle_gamma 90.00
loop_
_space_group_symop_operation_xyz
'x,y,z'
'-x,-y,-z'
'-x,y,-z'
'x,-y,z'
'x+1/2,y+1/2,z'
'-x+1/2,-y+1/2,-z'
'-x+1/2,y+1/2,-z'
'x+1/2,-y+1/2,z'
loop_
_atom_site_label
_atom_site_type_symbol
_atom_site_fract_x
_atom_site_fract_y
_atom_site_fract_z
Ta1 Ta 0.000 0.000 0.000
Ru1 Ru 0.000 0.500 0.500
Cl1 Cl 0.138 0.500 0.211
```